RbLuCoTe3: optimized geometry, PBE.

Structure (POSCAR):
```
RbLuCoTe3
1.0
-4.361 1.919 10.280
0.237 -4.166 0.878
14.889 2.096 5.926
Co Lu Rb Te
4 4 4 12
Direct
0.752 0.000 0.218
0.252 0.000 0.282
0.748 0.500 0.718
0.248 0.500 0.782
0.503 0.500 0.249
0.003 0.500 0.251
0.997 0.000 0.749
0.497 0.000 0.751
0.247 0.000 0.004
0.747 0.000 0.496
0.253 0.500 0.504
0.753 0.500 0.996
0.566 0.000 0.125
0.939 0.000 0.127
0.253 0.500 0.187
0.753 0.500 0.313
0.439 0.000 0.373
0.066 0.000 0.375
0.934 0.500 0.625
0.561 0.500 0.627
0.247 0.000 0.687
0.747 0.000 0.813
0.061 0.500 0.873
0.434 0.500 0.875
```

Output
SG: Pnma
Uncorrected energy, eV/f.u.: -26.886

---

Zr2Sb3W4N3: optimized geometry, PBE.

Structure (POSCAR):
```
Zr2Sb3W4N3
1.0
-4.851 3.136 -0.513
-4.061 -1.645 -3.799
-2.606 -7.740 10.634
N Sb W Zr
6 6 8 4
Direct
0.000 0.500 0.000
0.339 0.822 0.002
0.178 0.661 0.498
0.500 0.000 0.500
0.822 0.339 0.502
0.661 0.178 0.998
0.777 0.582 0.247
0.058 0.942 0.250
0.418 0.223 0.253
0.582 0.777 0.747
0.942 0.058 0.750
0.223 0.418 0.753
0.057 0.176 0.076
0.687 0.892 0.082
0.108 0.313 0.418
0.824 0.943 0.424
0.176 0.057 0.576
0.892 0.687 0.582
0.313 0.108 0.918
0.943 0.824 0.924
0.353 0.526 0.092
0.474 0.647 0.408
0.526 0.353 0.592
0.647 0.474 0.908
```

Output
SG: C2/c
Uncorrected energy, eV/f.u.: -107.399

---

no.,total magnetization (μB/f.u.)
1,2.7
2,0.0